1.
DFT (PBEsol) results for crystalline RbLa3Rh at its relaxed geometry.

As for the formation energy: 1.4209 eV/atom. The crystal system is cubic. The total moment comes out at 0.000 μB per atom.

It has space group Pm-3m (No. 221), with a = 5.4103 Å, b = 5.4103 Å, c = 5.4103 Å, α = 90.00°, β = 90.00° and γ = 90.00°. The asymmetric unit holds Rb at (0.0000, 0.0000, 0.0000), La at (0.0000, 0.0000, 0.5000) and Rh at (0.5000, 0.5000, 0.5000).

***

2.
DFT (PBEsol) results for crystalline LaMo6S8 at its relaxed geometry.

The calculation puts the electronic total energy at -8.44 eV per atom. The crystal system is trigonal. The total moment comes out at 0.000 μB per atom.

It has space group R-3 (No. 148, hexagonal axes), with a = 8.9984 Å, b = 8.9984 Å, c = 11.4706 Å, α = 90.00°, β = 90.00° and γ = 120.00°. The asymmetric unit holds La at (0.0000, 0.0000, 0.0000), Mo at (0.0168, 0.1783, 0.4025), S at (0.0000, 0.0000, 0.2442) and S at (0.0006, 0.3742, 0.2485).

***

3.
DFT (PBEsol) results for crystalline SiIr2Br at its relaxed geometry.

The crystal system is tetragonal. As for the offset from the most stable computed form: 72.5 meV per atom. The total moment comes out at 0.000 μB per atom.

It has space group P4mm (No. 99), with a = 2.8966 Å, b = 2.8966 Å, c = 7.6099 Å, α = 90.00°, β = 90.00° and γ = 90.00°. The asymmetric unit holds Si at (0.0000, 0.0000, 0.0000), Ir at (0.0000, 0.0000, 0.5649), Ir at (0.5000, 0.5000, 0.8155) and Br at (0.5000, 0.5000, 0.3239).

***

4.
DFT (PBEsol) results for crystalline Y4SiCl at its relaxed geometry.

The calculation puts the electronic total energy at -5.55 eV per atom. The crystal system is cubic. The total moment comes out at 0.000 μB per atom.

It has space group F-43m (No. 216), with a = 8.6037 Å, b = 8.6037 Å, c = 8.6037 Å, α = 90.00°, β = 90.00° and γ = 90.00°. The asymmetric unit holds Y at (0.1231, 0.1231, 0.1231), Si at (0.2500, 0.2500, 0.7500) and Cl at (0.0000, 0.0000, 0.5000).

***

Q: What is the total moment in the fourth record?
A: 0.000 μB per atom